w:
{"formula": "Tb5PrHo", "functional": "PBE", "state": "relaxed", "lattice_angstrom": [[-5.705, -0.709, 0.712], [-2.528, -6.695, -3.356], [-1.579, -5.714, 5.227]], "species": ["Ho", "Tb", "Tb", "Tb", "Tb", "Tb", "Pr"], "frac_coords": [[0.500, 0.500, 0.500], [0.000, 0.500, 0.500], [0.500, 0.180, 0.820], [0.252, 0.748, 0.748], [0.748, 0.252, 0.252], [0.500, 0.820, 0.180], [0.000, 0.000, 0.000]], "dos_ef_per_ev_fu": 9.583}

***

x:
{"formula": "Tb5PrHo", "functional": "PBE", "state": "relaxed", "lattice_angstrom": [[-2.461, -6.313, 0.505], [3.556, -4.769, 3.283], [-4.561, -4.341, 12.293]], "species": ["Tb", "Tb", "Tb", "Tb", "Tb", "Tb", "Tb", "Tb", "Tb", "Tb", "Ho", "Ho", "Pr", "Pr"], "frac_coords": [[0.391, 0.170, 0.248], [0.169, 0.831, 0.750], [0.830, 0.609, 0.252], [0.346, 0.307, 0.500], [0.170, 0.391, 0.748], [0.609, 0.830, 0.752], [0.831, 0.169, 0.250], [0.307, 0.346, 0.000], [0.693, 0.654, 0.000], [0.654, 0.693, 0.500], [0.722, 0.278, 0.750], [0.278, 0.722, 0.250], [0.000, 0.000, 0.500], [0.000, 0.000, 0.000]], "dos_ef_per_ev_fu": 9.637}

***

Which structure is the least stable? The one labeled w.